[1]
Here is crystalline Nd12YHo5 at its relaxed geometry from Alexandria via LeMat-Bulk. Energies are from PBE.

a b c (Å): 10.8887 5.1490 10.9059
angles (deg): 90.00 90.26 90.00
Space group P2/m (No. 10)
Inequivalent atoms, fractional coordinates:
Nd 0.0019 0.0000 0.1677
Nd 0.1655 0.5000 0.6656
Nd 0.1688 0.5000 0.0019
Nd 0.3322 0.0000 0.4982
Nd 0.3352 0.0000 0.8352
Nd 0.4980 0.5000 0.3313
Y 0.0000 0.0000 0.5000
Ho 0.1671 0.5000 0.3329
Ho 0.3333 0.0000 0.1667
Ho 0.5000 0.5000 0.0000

Values from the calculation:
The energy of formation from the pure elements is 0.020 eV per atom. The crystal system is monoclinic. The total magnetization is 0.0 μB per formula unit.

=====

[2]
Here is crystalline Nd5Y3Ho3 at its relaxed geometry from Alexandria via LeMat-Bulk. Energies are from PBE.

a b c (Å): 11.2966 11.2966 3.4693
angles (deg): 90.00 90.00 120.00
Space group P-62m (No. 189)
Inequivalent atoms, fractional coordinates:
Nd 0.0000 0.6603 0.0000
Nd 0.3333 0.6667 0.0000
Y 0.0000 0.1612 0.0000
Ho 0.0000 0.4067 0.5000

Values from the calculation:
The energy above the most stable polymorph in this dataset is 0.0 meV per atom. The energy of formation from the pure elements is 0.325 eV per atom. The crystal system is hexagonal. The total magnetization is 0.0 μB per formula unit.

=====

[3]
Here is crystalline Nd4Y3Ho at its relaxed geometry from Alexandria via LeMat-Bulk. Energies are from PBE.

a b c (Å): 11.6258 7.3588 6.3490
angles (deg): 90.00 90.00 90.00
Space group Pmn2_1 (No. 31)
Inequivalent atoms, fractional coordinates:
Nd 0.0000 0.1268 0.0000
Nd 0.0000 0.8735 0.4973
Nd 0.2486 0.8732 0.8306
Y 0.0000 0.3776 0.4968
Y 0.2499 0.3778 0.8309
Ho 0.0000 0.6220 0.9961

Values from the calculation:
The energy above the most stable polymorph in this dataset is 0.0 meV per atom. The energy of formation from the pure elements is 0.024 eV per atom. The crystal system is orthorhombic. The total magnetization is 0.0 μB per formula unit.

=====

[4]
Here is crystalline Nd2Y2Ho5 at its relaxed geometry from Alexandria via LeMat-Bulk. Energies are from PBE.

a b c (Å): 14.9357 11.8408 6.7129
angles (deg): 90.00 90.00 90.00
Space group Ima2 (No. 46)
Inequivalent atoms, fractional coordinates:
Nd 0.0000 0.0000 0.0000
Nd 0.2500 0.0093 0.0932
Y 0.1260 0.5047 0.0463
Ho 0.0527 0.7419 0.6977
Ho 0.1423 0.2347 0.8880
Ho 0.2500 0.7481 0.8896

Values from the calculation:
The energy above the most stable polymorph in this dataset is 57.1 meV per atom. The energy of formation from the pure elements is 0.207 eV per atom. The crystal system is orthorhombic. The total magnetization is 0.0 μB per formula unit.

=====

[5]
Here is crystalline Nd8Y3Ho2 at its relaxed geometry from Alexandria via LeMat-Bulk. Energies are from PBE.

a b c (Å): 20.4469 7.7476 5.7604
angles (deg): 90.00 90.01 90.00
Space group C2/m (No. 12)
Inequivalent atoms, fractional coordinates:
Nd 0.1067 0.2049 0.0001
Nd 0.1326 0.5000 0.4998
Nd 0.1735 0.0000 0.5005
Y 0.0000 0.2151 0.5000
Y 0.0000 0.5000 0.0000
Ho 0.2401 0.5000 0.9995

Values from the calculation:
The energy of formation from the pure elements is 0.201 eV per atom. The crystal system is monoclinic. The total magnetization is 0.0 μB per formula unit.

=====

[6]
Here is crystalline Nd3Y2Ho at its relaxed geometry from Alexandria via LeMat-Bulk. Energies are from PBE.

a b c (Å): 10.9008 6.2926 11.6670
angles (deg): 90.00 90.00 90.00
Space group Cmcm (No. 63)
Inequivalent atoms, fractional coordinates:
Nd 0.0000 0.0000 0.0000
Nd 0.1656 0.5000 0.0000
Y 0.1666 0.1666 0.2500
Ho 0.0000 0.3336 0.7500

Values from the calculation:
The energy above the most stable polymorph in this dataset is 0.0 meV per atom. The energy of formation from the pure elements is -0.004 eV per atom. The crystal system is orthorhombic. The total magnetization is 0.0 μB per formula unit.

=====

[7]
Here is crystalline NdY7Ho5 at its relaxed geometry from Alexandria via LeMat-Bulk. Energies are from PBE.

a b c (Å): 6.6839 11.1552 11.6109
angles (deg): 90.00 90.00 90.00
Space group Imm2 (No. 44)
Inequivalent atoms, fractional coordinates:
Nd 0.0000 0.0000 0.0000
Y 0.0000 0.0000 0.3879
Y 0.0000 0.0000 0.6985
Y 0.0000 0.3266 0.9434
Y 0.0000 0.3314 0.4427
Y 0.0000 0.5000 0.6967
Ho 0.0000 0.5000 0.1878
Ho 0.2336 0.2294 0.1953

Values from the calculation:
The energy of formation from the pure elements is 0.239 eV per atom. The crystal system is orthorhombic. The total magnetization is 0.0 μB per formula unit.

=====

[8]
Here is crystalline Nd3Y2Ho4 at its relaxed geometry from Alexandria via LeMat-Bulk. Energies are from PBE.

a b c (Å): 11.9027 3.5851 14.7725
angles (deg): 90.00 111.36 90.00
Space group C2/m (No. 12)
Inequivalent atoms, fractional coordinates:
Nd 0.0000 0.0000 0.0000
Nd 0.1099 0.0000 0.4445
Y 0.0538 0.5000 0.2211
Ho 0.1690 0.5000 0.6698
Ho 0.2231 0.0000 0.8895

Values from the calculation:
The energy above the most stable polymorph in this dataset is 0.0 meV per atom. The energy of formation from the pure elements is 0.020 eV per atom. The crystal system is monoclinic. The total magnetization is 0.0 μB per formula unit.